PBE CsTb2Ag3Te5, optimized geometry; total magnetic moment = 0.000 μB per atom; total energy = -0.29512 Ry per atom
1.0
2.286 -8.206 0.000
2.286 8.206 0.000
0.000 0.000 18.603
Te Ag Tb Cs
10 6 4 2
Direct
0.064 0.936 0.619
0.322 0.678 0.927
0.244 0.756 0.250
0.756 0.244 0.750
0.936 0.064 0.119
0.064 0.936 0.881
0.322 0.678 0.573
0.936 0.064 0.381
0.678 0.322 0.427
0.678 0.322 0.073
0.841 0.159 0.250
0.159 0.841 0.750
0.916 0.084 0.534
0.084 0.916 0.034
0.916 0.084 0.966
0.084 0.916 0.466
0.309 0.691 0.094
0.691 0.309 0.906
0.309 0.691 0.406
0.691 0.309 0.594
0.442 0.558 0.750
0.558 0.442 0.250


PBE CsPuP2S7, optimized geometry; total magnetic moment = 0.455 μB per atom; total energy = -0.42555 Ry per atom
1.0
10.234 0.000 0.000
0.000 12.629 0.000
-0.121 0.000 9.082
P S Pu Cs
8 28 4 4
Direct
0.757 0.107 0.025
0.243 0.893 0.975
0.757 0.393 0.525
0.322 0.034 0.301
0.243 0.607 0.475
0.322 0.466 0.801
0.678 0.966 0.699
0.678 0.534 0.199
0.642 0.689 0.149
0.151 0.563 0.286
0.849 0.063 0.214
0.486 0.557 0.824
0.419 0.828 0.923
0.514 0.057 0.676
0.156 0.710 0.611
0.581 0.328 0.577
0.180 0.528 0.928
0.263 0.453 0.574
0.844 0.290 0.389
0.156 0.790 0.111
0.820 0.028 0.572
0.737 0.547 0.426
0.844 0.210 0.889
0.151 0.937 0.786
0.263 0.047 0.074
0.642 0.811 0.649
0.514 0.443 0.176
0.849 0.437 0.714
0.180 0.972 0.428
0.737 0.953 0.926
0.820 0.472 0.072
0.358 0.311 0.851
0.419 0.672 0.423
0.358 0.189 0.351
0.486 0.943 0.324
0.581 0.172 0.077
0.368 0.640 0.106
0.632 0.140 0.394
0.368 0.860 0.606
0.632 0.360 0.894
0.099 0.302 0.135
0.901 0.698 0.865
0.099 0.198 0.635
0.901 0.802 0.365


PBE LuGeW2, optimized geometry; total magnetic moment = 0.000 μB per atom; total energy = -0.62797 Ry per atom
1.0
0.006 -3.652 -2.837
-4.002 -1.820 -1.435
-1.316 0.492 -4.406
Lu W Ge
1 2 1
Direct
0.250 0.250 0.250
0.750 0.750 0.750
0.000 0.000 0.000
0.500 0.500 0.500


PBE Re2Bi2Mo3, optimized geometry; total magnetic moment = 0.007 μB per atom; total energy = -0.63190 Ry per atom
1.0
0.405 -4.689 6.030
-3.876 -5.020 4.277
-0.367 -7.295 2.273
Bi Re Mo
2 2 3
Direct
0.046 0.046 0.046
0.485 0.485 0.485
0.240 0.240 0.240
0.761 0.761 0.761
0.615 0.615 0.615
0.348 0.348 0.348
0.879 0.879 0.879


PBE TbPaTl, optimized geometry; total magnetic moment = 0.665 μB per atom; total energy = -0.36461 Ry per atom
1.0
-1.873 -4.011 -2.651
-4.707 0.265 -2.096
-0.529 0.315 -5.123
Pa Tb Tl
1 1 1
Direct
0.250 0.250 0.250
0.750 0.750 0.750
0.000 0.000 0.000


PBE MgScFeGe, optimized geometry; total magnetic moment = 0.249 μB per atom; total energy = -0.38696 Ry per atom
1.0
0.000 3.138 3.138
3.138 0.000 3.138
3.138 3.138 0.000
Sc Mg Fe Ge
1 1 1 1
Direct
0.750 0.750 0.750
0.000 0.000 0.000
0.500 0.500 0.500
0.250 0.250 0.250


PBE GdYCu2Si2, optimized geometry; total magnetic moment = 0.002 μB per atom; total energy = -0.40968 Ry per atom
1.0
4.144 0.000 0.000
-2.072 3.589 0.000
0.000 0.000 7.612
Cu Y Si Gd
2 1 2 1
Direct
0.667 0.333 0.751
0.333 0.667 0.249
0.000 0.000 0.000
0.333 0.667 0.751
0.667 0.333 0.249
0.000 0.000 0.500


PBE MgZnBAu, optimized geometry; total energy = -0.20309 Ry per atom
1.0
0.000 3.097 3.097
3.097 0.000 3.097
3.097 3.097 0.000
Au B Mg Zn
1 1 1 1
Direct
0.750 0.750 0.750
0.250 0.250 0.250
0.500 0.500 0.500
0.000 0.000 0.000


PBE SmPtW, optimized geometry; total magnetic moment = 0.230 μB per atom; energy relative to the elements = 419 meV/atom
1.0
0.000 3.266 3.266
3.266 0.000 3.266
3.266 3.266 0.000
Pt W Sm
1 1 1
Direct
0.000 0.000 0.000
0.750 0.750 0.750
0.250 0.250 0.250


PBE Gd2TaCd2, optimized geometry; total magnetic moment = 0.256 μB per atom; energy relative to the elements = 240 meV/atom
1.0
6.768 0.000 0.000
0.000 8.213 0.000
0.000 0.000 4.500
Cd Gd Ta
4 4 2
Direct
0.890 0.649 0.000
0.390 0.851 0.000
0.610 0.149 0.000
0.110 0.351 0.000
0.725 0.862 0.500
0.775 0.362 0.500
0.275 0.138 0.500
0.225 0.638 0.500
0.000 0.000 0.000
0.500 0.500 0.000


PBE HoZr3, optimized geometry; total magnetic moment = 0.002 μB per atom; energy relative to the elements = 36 meV/atom
1.0
5.737 0.000 0.000
0.000 6.612 0.000
0.000 0.000 5.227
Zr Ho
6 2
Direct
0.505 0.754 0.000
0.828 0.746 0.500
0.505 0.246 0.000
0.351 0.000 0.500
0.828 0.254 0.500
0.982 0.500 0.000
0.327 0.500 0.500
0.007 0.000 0.000


PBE NaTe2IrAuS, optimized geometry; total magnetic moment = 0.003 μB per atom; total energy = -0.30362 Ry per atom
1.0
1.992 -8.316 0.000
1.992 8.316 0.000
0.000 0.000 9.631
Na Ir Te Au S
2 2 4 2 2
Direct
0.765 0.235 0.250
0.235 0.765 0.750
0.500 0.500 0.000
0.500 0.500 0.500
0.891 0.109 0.013
0.109 0.891 0.987
0.109 0.891 0.513
0.891 0.109 0.487
0.864 0.136 0.750
0.136 0.864 0.250
0.532 0.468 0.750
0.468 0.532 0.250


Mass density across the listed records, respectively: 6.72 3.75 14.61 13.42 10.16 5.31 6.30 8.32 12.61 9.56 7.35 7.28 Mg/m³.